The following is a DFT calculation (PBE) of NaReAg3S4 after structural relaxation. Values from VASP.

Cell and atoms, written as Quantum ESPRESSO input:
```
&SYSTEM
  ibrav = 0, nat = 9, ntyp = 4
/
ATOMIC_SPECIES
Na 22.99 Na.upf
Re 186.21 Re.upf
Ag 107.87 Ag.upf
S 32.06 S.upf
CELL_PARAMETERS angstrom
6.100 0.000 0.000
0.000 6.100 0.000
0.000 0.000 6.100
ATOMIC_POSITIONS crystal
Na 0.000 0.000 0.000
Re 0.500 0.500 0.500
Ag 0.000 0.500 0.500
Ag 0.500 0.000 0.500
Ag 0.500 0.500 0.000
S 0.278 0.278 0.278
S 0.278 0.722 0.722
S 0.722 0.278 0.722
S 0.722 0.722 0.278
```

Density (Mg/m³): 4.8
Total energy (eV/cell): -39.57